Below is Np2CuSb after structural relaxation, with properties calculated at the PBE level.

Output
**M_tot**: 0.002 Bohr magnetons per cell
**Formation energy from raw total energies**: 0.4 eV/f.u.
**Crystal system**: tetragonal
**Total DFT energy (no corrections)**: -33.7 eV/f.u.

Cell lengths 5.1967, 3.7103, 3.7103 Å; angles 90.00, 90.00, 90.00 degrees
Positions (direct):
Np 0.0000 0.5000 0.0000
Np 0.0000 0.0000 0.5000
Sb 0.5000 0.5000 0.5000
Cu 0.5000 0.0000 0.0000